## YMg6Ti (PBE)

Data for a geometry-optimized YMg6Ti structure.

Geometry as CIF:
```
data_YMg6Ti
_space_group_name_H-M_alt 'P 4/m m m'
_space_group_IT_number 123
_space_group_name_Hall '-P 4 2'
_cell_length_a 6.482
_cell_length_b 6.482
_cell_length_c 4.401
_cell_angle_alpha 90.00
_cell_angle_beta 90.00
_cell_angle_gamma 90.00
loop_
_atom_site_label
_atom_site_type_symbol
_atom_site_fract_x
_atom_site_fract_y
_atom_site_fract_z
Y1 Y 0.000 0.000 0.000
Mg1 Mg 0.000 0.500 0.000
Mg2 Mg 0.263 0.263 0.500
Ti1 Ti 0.500 0.500 0.000
```

Results
Fermi-level density of states ... 7.24 states/eV/cell
V ... 184.92 Å³/cell
ΔE to the lowest computed polymorph ... 0.00 eV/f.u.